Here is a relaxed Ag3Pt2Au3 crystal from Alexandria via LeMat-Bulk. Energies are from PBE-GGA.

For the density of states at the Fermi level, the calculation gives 3.67 states/eV/cell. For the energy, the calculation gives -3.813 eV/atom. The calculation puts the energy above the most stable polymorph in this dataset at 0.00 eV/f.u. Its formation energy is -5 meV per atom.

Structure (extended XYZ):
```
8
Lattice="-1.124 -3.876 0.768 3.150 -1.346 -2.183 3.684 2.594 7.497" Properties=species:S:1:pos:R:3 pbc="T T T"
Ag -0.562 -1.938 0.384
Ag 2.214 -2.615 1.028
Ag 3.497 -0.013 5.054
Au 4.509 -2.624 4.345
Au 1.202 -0.004 1.738
Au 1.575 -0.673 -1.091
Pt 3.919 -0.682 2.297
Pt 1.791 -1.947 3.786
```

=====

Here is a relaxed AgPt3Au crystal from Alexandria via LeMat-Bulk. Energies are from PBE-GGA.

For the density of states at the Fermi level, the calculation gives 4.15 states/eV/cell. For the energy, the calculation gives -3.293 eV/atom. The calculation puts the energy above the most stable polymorph in this dataset at 0.89 eV/f.u. Its formation energy is 1557 meV per atom.

Structure (extended XYZ):
```
5
Lattice="-2.787 3.553 1.796 -2.273 0.379 -4.278 -3.268 -3.294 1.445" Properties=species:S:1:pos:R:3 pbc="T T T"
Au -4.164 0.319 -0.519
Pt -1.634 -1.647 0.722
Pt -1.137 0.189 -2.139
Pt -1.393 1.776 0.898
Ag 0.000 0.000 0.000
```

=====

Here is a relaxed AgPt3Au7 crystal from Alexandria via LeMat-Bulk. Energies are from PBE-GGA.

For the density of states at the Fermi level, the calculation gives 6.74 states/eV/cell. For the energy, the calculation gives -3.898 eV/atom. Its formation energy is 94 meV per atom.

Structure (extended XYZ):
```
11
Lattice="-2.538 6.338 -1.320 -0.114 -1.221 -5.642 -4.597 -1.154 3.296" Properties=species:S:1:pos:R:3 pbc="T T T"
Pt -6.638 3.200 -0.559
Pt -4.344 3.776 -2.204
Pt -4.287 4.385 0.612
Au -1.799 0.100 0.014
Au -4.191 -1.106 -1.177
Au -4.352 1.120 -3.109
Au -4.133 -0.486 1.689
Au -2.016 1.707 -4.784
Au -1.892 -0.489 -2.810
Au -1.959 2.327 -1.917
Ag -4.251 1.692 -0.281
```